Record 1
## Hg3BiH4 (PBE)

Data for a relaxed structure of Hg3BiH4. Values from VASP.

```
&SYSTEM
  ibrav = 0, nat = 8, ntyp = 3
/
ATOMIC_SPECIES
Hg 200.59 Hg.upf
H 1.01 H.upf
Bi 208.98 Bi.upf
CELL_PARAMETERS angstrom
5.547 0.000 -1.059
-0.285 2.737 -1.492
-0.869 3.846 10.505
ATOMIC_POSITIONS angstrom
Hg -0.142 1.368 -0.746
Hg 0.491 1.452 2.571
H 3.372 3.133 2.608
Bi 2.773 0.000 -0.529
Hg 3.902 5.130 5.383
H 1.020 3.450 5.346
H 1.089 2.793 5.704
H 3.304 3.790 2.250
```

Values from the calculation:
Size of the total moment in μB per formula unit: 0.00
DFT total energy in eV/atom: -2.179
Space-group type: Immm, No. 71

---

Record 2
## HgBi3H2 (PBE)

Data for a relaxed structure of HgBi3H2. Values from VASP.

```
&SYSTEM
  ibrav = 0, nat = 12, ntyp = 3
/
ATOMIC_SPECIES
Hg 200.59 Hg.upf
Bi 208.98 Bi.upf
H 1.01 H.upf
CELL_PARAMETERS angstrom
6.788 1.208 -3.448
2.443 10.672 1.812
-1.274 2.915 6.092
ATOMIC_POSITIONS angstrom
Hg 0.667 4.478 4.824
Bi 3.935 7.366 4.243
Hg 7.291 10.316 -0.368
H 7.690 8.131 -0.974
Bi 4.022 7.428 0.213
Bi 3.017 11.721 3.340
Bi 4.940 3.073 1.116
H 6.184 12.515 2.198
H 1.774 2.279 2.258
Bi 2.190 5.571 2.387
H 0.267 6.664 5.430
Bi 5.767 9.224 2.069
```

Values from the calculation:
Size of the total moment in μB per formula unit: 0.00
DFT total energy in eV/atom: -2.864
Space-group type: P-1, No. 2

---

Record 3
## Hg4BiH2 (PBE)

Data for a relaxed structure of Hg4BiH2. Values from VASP.

```
&SYSTEM
  ibrav = 0, nat = 7, ntyp = 3
/
ATOMIC_SPECIES
Bi 208.98 Bi.upf
Hg 200.59 Hg.upf
H 1.01 H.upf
CELL_PARAMETERS angstrom
-1.565 0.735 -2.950
-4.617 -2.422 1.846
-0.195 8.350 2.183
ATOMIC_POSITIONS angstrom
Bi -2.308 -1.211 0.923
Hg -1.534 4.374 1.903
Hg -1.198 1.551 -0.960
H -4.651 3.604 1.383
Hg -4.843 2.288 -0.824
H -1.726 3.059 -0.304
Hg -5.179 5.111 2.039
```

Values from the calculation:
Size of the total moment in μB per formula unit: 0.00
DFT total energy in eV/atom: -1.434
Space-group type: Cmmm, No. 65

---

Record 4
## Hg6BiH2 (PBE)

Data for a relaxed structure of Hg6BiH2. Values from VASP.

```
&SYSTEM
  ibrav = 0, nat = 9, ntyp = 3
/
ATOMIC_SPECIES
Hg 200.59 Hg.upf
H 1.01 H.upf
Bi 208.98 Bi.upf
CELL_PARAMETERS angstrom
4.094 3.689 -0.356
6.179 11.347 -2.953
-0.843 -2.478 10.124
ATOMIC_POSITIONS angstrom
Hg 5.939 7.629 1.698
Hg 8.700 12.499 -1.397
H 4.370 3.820 3.920
Hg 2.230 2.388 6.659
Hg 3.491 4.928 5.116
Hg 7.200 10.169 0.155
Hg 0.730 0.058 8.212
H 5.060 8.737 2.895
Bi 0.000 0.000 0.000
```

Values from the calculation:
Size of the total moment in μB per formula unit: 0.00
DFT total energy in eV/atom: -1.173
Space-group type: P-1, No. 2

---

Record 5
## Hg4Bi2H3 (PBE)

Data for a relaxed structure of Hg4Bi2H3. Values from VASP.

```
&SYSTEM
  ibrav = 0, nat = 18, ntyp = 3
/
ATOMIC_SPECIES
Hg 200.59 Hg.upf
H 1.01 H.upf
Bi 208.98 Bi.upf
CELL_PARAMETERS angstrom
-0.077 -1.566 16.023
-3.282 -5.480 4.276
5.475 -1.052 10.997
ATOMIC_POSITIONS angstrom
Hg 3.022 -2.711 18.122
Hg -0.906 -5.387 13.174
H 4.489 -2.011 17.490
Hg -1.648 -4.017 5.107
Hg 2.375 -4.176 23.034
H 0.408 -1.574 14.062
Hg 3.764 -4.081 26.190
Hg -2.386 -5.505 10.082
H 1.708 -6.525 17.234
H 1.682 -5.101 20.093
Bi 0.074 -5.712 16.914
Bi 1.484 -4.340 11.999
H 0.434 -2.997 11.203
H -2.373 -6.087 13.806
Hg -0.259 -3.922 8.262
Bi 2.042 -2.387 14.383
Bi 0.632 -3.758 19.297
Hg 4.502 -2.593 21.214
```

Values from the calculation:
Size of the total moment in μB per formula unit: 0.00
DFT total energy in eV/atom: -1.907
Space-group type: P-1, No. 2

---

Record 6
## HgBiH4 (PBE)

Data for a relaxed structure of HgBiH4. Values from VASP.

```
&SYSTEM
  ibrav = 0, nat = 12, ntyp = 3
/
ATOMIC_SPECIES
Bi 208.98 Bi.upf
Hg 200.59 Hg.upf
H 1.01 H.upf
CELL_PARAMETERS angstrom
5.197 3.454 1.327
3.354 9.571 3.514
1.596 2.814 7.203
ATOMIC_POSITIONS angstrom
Bi 7.247 12.051 4.816
Hg 4.602 9.174 7.327
Hg 5.545 6.665 4.717
H 8.137 12.439 8.549
H 4.741 6.735 7.600
H 4.431 10.876 9.094
H 5.715 4.963 2.950
H 5.406 9.104 4.444
H 6.264 9.371 7.411
Bi 2.900 3.789 7.228
H 2.010 3.400 3.495
H 3.883 6.468 4.633
```

Values from the calculation:
Size of the total moment in μB per formula unit: 0.00
DFT total energy in eV/atom: -2.598
Space-group type: C2/c, No. 15

---

Record 7
## HgBiH (PBE)

Data for a relaxed structure of HgBiH. Values from VASP.

```
&SYSTEM
  ibrav = 0, nat = 3, ntyp = 3
/
ATOMIC_SPECIES
H 1.01 H.upf
Bi 208.98 Bi.upf
Hg 200.59 Hg.upf
CELL_PARAMETERS angstrom
4.377 0.000 0.000
0.000 4.377 0.000
-2.189 -2.189 4.018
ATOMIC_POSITIONS angstrom
H 2.189 2.189 3.496
Bi 2.189 2.189 1.635
Hg 0.000 0.000 1.700
```

Values from the calculation:
Energy relative to the lowest polymorph listed for this composition in eV/atom: 0.0608
Size of the total moment in μB per formula unit: 0.00
Space-group type: I4mm, No. 107

---

Record 8
## HgBi2H (PBE)

Data for a relaxed structure of HgBi2H. Values from VASP.

```
&SYSTEM
  ibrav = 0, nat = 8, ntyp = 3
/
ATOMIC_SPECIES
Bi 208.98 Bi.upf
Hg 200.59 Hg.upf
H 1.01 H.upf
CELL_PARAMETERS angstrom
0.116 -0.554 6.706
-9.786 -2.472 -0.034
0.922 -3.752 7.272
ATOMIC_POSITIONS angstrom
Bi -8.478 -5.874 8.698
Hg -1.618 -4.027 9.355
Bi -4.262 -1.911 5.231
Bi -4.486 -4.866 8.712
Bi -0.270 -0.903 5.245
H -2.281 -1.352 5.605
H -6.467 -5.425 8.339
Hg -7.129 -2.750 4.588
```

Values from the calculation:
Energy relative to the lowest polymorph listed for this composition in eV/atom: 0.0000
Size of the total moment in μB per formula unit: 0.00
Space-group type: P2_1/m, No. 11

---

Record 9
## Hg2BiHI (PBE)

Data for a relaxed structure of Hg2BiHI. Values from VASP.

```
&SYSTEM
  ibrav = 0, nat = 5, ntyp = 4
/
ATOMIC_SPECIES
Hg 200.59 Hg.upf
Bi 208.98 Bi.upf
H 1.01 H.upf
I 126.90 I.upf
CELL_PARAMETERS angstrom
5.896 0.000 0.000
0.000 5.896 0.000
0.000 0.000 4.185
ATOMIC_POSITIONS angstrom
Hg 2.948 0.000 0.000
Bi 0.000 0.000 0.000
Hg 0.000 2.948 0.000
H 0.000 0.000 2.093
I 2.948 2.948 2.093
```

Values from the calculation:
Size of the total moment in μB per formula unit: 0.00
DFT total energy in eV/atom: -1.796
Space-group type: P4/mmm, No. 123

---

Record 10
## Li2HgBiH (PBE)

Data for a relaxed structure of Li2HgBiH. Values from VASP.

```
&SYSTEM
  ibrav = 0, nat = 5, ntyp = 4
/
ATOMIC_SPECIES
Hg 200.59 Hg.upf
Li 6.94 Li.upf
H 1.01 H.upf
Bi 208.98 Bi.upf
CELL_PARAMETERS angstrom
4.482 0.000 0.000
0.000 4.482 0.000
0.000 0.000 4.350
ATOMIC_POSITIONS angstrom
Hg 0.000 0.000 2.175
Li 0.000 2.241 0.000
H 0.000 0.000 0.000
Bi 2.241 2.241 2.175
Li 2.241 0.000 0.000
```

Values from the calculation:
Energy relative to the lowest polymorph listed for this composition in eV/atom: 0.0000
Size of the total moment in μB per formula unit: 0.00
Space-group type: P4/mmm, No. 123

---

Record 11
## Li2HgBiH (PBE)

Data for a relaxed structure of Li2HgBiH. Values from VASP.

```
&SYSTEM
  ibrav = 0, nat = 5, ntyp = 4
/
ATOMIC_SPECIES
H 1.01 H.upf
Li 6.94 Li.upf
Hg 200.59 Hg.upf
Bi 208.98 Bi.upf
CELL_PARAMETERS angstrom
4.523 0.000 0.000
0.000 4.523 0.000
0.000 0.000 4.429
ATOMIC_POSITIONS angstrom
H 0.000 0.000 0.000
Li 2.262 0.000 0.000
Hg 2.262 2.262 2.215
Li 0.000 2.262 0.000
Bi 0.000 0.000 2.215
```

Values from the calculation:
Energy relative to the lowest polymorph listed for this composition in eV/atom: 0.0716
Size of the total moment in μB per formula unit: 0.00
Space-group type: P4/mmm, No. 123

---

Record 12
## NaHgBi2H (PBE)

Data for a relaxed structure of NaHgBi2H. Values from VASP.

```
&SYSTEM
  ibrav = 0, nat = 5, ntyp = 4
/
ATOMIC_SPECIES
Bi 208.98 Bi.upf
Hg 200.59 Hg.upf
Na 22.99 Na.upf
H 1.01 H.upf
CELL_PARAMETERS angstrom
-1.169 4.413 1.656
-3.572 -1.943 2.655
3.203 -0.602 3.868
ATOMIC_POSITIONS angstrom
Bi -1.786 -0.971 1.328
Hg -0.769 0.934 4.090
Na 1.602 -0.301 1.934
Bi -0.585 2.206 0.828
H 0.000 0.000 0.000
```

Values from the calculation:
Size of the total moment in μB per formula unit: 0.00
DFT total energy in eV/atom: -2.457
Space-group type: P4/mmm, No. 123